Entry from the Alexandria database: Cs3SrMo2O8 after structural relaxation (PBE+U).

Electronic total energy ... -85.43 eV per cell
Calculated volume ... 22.29 Å³ per atom
N(E_F) ... 0.48 states/eV/atom
Total magnetic moment ... 1.0 μB/f.u.

Cell lengths 6.5282, 6.5282, 8.4557 Å; angles 90.00, 90.00, 120.00 degrees
Space group P-3m1 (No. 164)
Inequivalent atoms, fractional coordinates:
Cs1 0.0000 0.0000 0.0000
Cs2 0.3333 0.6667 0.6895
Sr1 0.0000 0.0000 0.5000
Mo1 0.3333 0.6667 0.2449
O1 0.1803 0.3606 0.3219
O2 0.3333 0.6667 0.0327